1.
Density functional theory data (PBE-GGA) for an optimized crystal structure of NaHPd3.

It has space group Cmcm (No. 63), with a = 5.539 Å, b = 9.296 Å, c = 5.479 Å, α = 90.00°, β = 90.00° and γ = 90.00°. The distinct sites, in fractional coordinates, are Na at (0.000, 0.015, 0.250), H at (0.000, 0.366, 0.750), Pd at (0.000, 0.500, 0.000) and Pd at (0.247, 0.263, 0.250).

For the density of states at the Fermi level, the calculation gives 0.36 states/eV/atom. For the energy above the most stable polymorph in this dataset, the calculation gives 80.5 meV/atom. Its crystal system is orthorhombic.



2.
Density functional theory data (PBE-GGA) for an optimized crystal structure of NaH5Pd4.

It has space group P1 (No. 1), with a = 3.232 Å, b = 5.855 Å, c = 5.883 Å, α = 85.81°, β = 74.20° and γ = 74.17°. The distinct sites, in fractional coordinates, are Na at (0.000, 0.000, 0.000), H at (0.247, 0.389, 0.107), H at (0.361, 0.892, 0.389), H at (0.644, 0.106, 0.611), H at (0.744, 0.498, 0.500), H at (0.746, 0.611, 0.893), Pd at (0.159, 0.204, 0.474), Pd at (0.363, 0.475, 0.796), Pd at (0.635, 0.525, 0.203) and Pd at (0.839, 0.795, 0.525).

For the density of states at the Fermi level, the calculation gives 0.22 states/eV/atom. For the energy above the most stable polymorph in this dataset, the calculation gives 0.0 meV/atom. Its crystal system is triclinic.



3.
Density functional theory data (PBE-GGA) for an optimized crystal structure of NaH2Pd.

It has space group R-3m (No. 166, hexagonal axes), with a = 3.0661 Å, b = 3.0661 Å, c = 15.3292 Å, α = 90.00°, β = 90.00° and γ = 120.00°. The distinct sites, in fractional coordinates, are Na at (0.0000, 0.0000, 0.0000), H at (0.0000, 0.0000, 0.2209) and Pd at (0.0000, 0.0000, 0.5000).

For the density of states at the Fermi level, the calculation gives 0.09 states/eV/atom. For the energy above the most stable polymorph in this dataset, the calculation gives 129.1 meV/atom. Its crystal system is trigonal.



4.
Density functional theory data (PBE-GGA) for an optimized crystal structure of Na2H2Pd.

It has space group C2/c (No. 15), with a = 9.689 Å, b = 5.513 Å, c = 5.571 Å, α = 90.00°, β = 111.78° and γ = 90.00°. The distinct sites, in fractional coordinates, are Na at (0.161, 0.115, 0.201), H at (0.085, 0.329, 0.537) and Pd at (0.000, 0.436, 0.750).

For the density of states at the Fermi level, the calculation gives 0.04 states/eV/atom. For the energy above the most stable polymorph in this dataset, the calculation gives 54.6 meV/atom. Its crystal system is monoclinic.



5.
Density functional theory data (PBE-GGA) for an optimized crystal structure of NaH5Pd4.

It has space group Pmmn (No. 59, origin choice 2), with a = 5.478 Å, b = 7.638 Å, c = 5.115 Å, α = 90.00°, β = 90.00° and γ = 90.00°. The distinct sites, in fractional coordinates, are Na at (0.250, 0.250, 0.171), H at (0.024, 0.583, 0.133), H at (0.250, 0.750, 0.622), Pd at (0.008, 0.750, 0.360) and Pd at (0.250, 0.561, 0.854).

For the density of states at the Fermi level, the calculation gives 0.30 states/eV/atom. For the energy above the most stable polymorph in this dataset, the calculation gives 136.5 meV/atom. Its crystal system is orthorhombic.



6.
Density functional theory data (PBE-GGA) for an optimized crystal structure of NaHPd3.

It has space group Cmcm (No. 63), with a = 5.382 Å, b = 14.245 Å, c = 5.344 Å, α = 90.00°, β = 90.00° and γ = 90.00°. The distinct sites, in fractional coordinates, are Na at (0.000, 0.182, 0.250), H at (0.000, 0.444, 0.250), Pd at (0.000, 0.000, 0.000) and Pd at (0.248, 0.370, 0.250).

For the density of states at the Fermi level, the calculation gives 0.90 states/eV/atom. For the energy above the most stable polymorph in this dataset, the calculation gives 462.0 meV/atom. Its crystal system is orthorhombic.



7.
Density functional theory data (PBE-GGA) for an optimized crystal structure of NaH6Pd8.

It has space group P6_3cm (No. 185), with a = 5.0713 Å, b = 5.0713 Å, c = 14.2612 Å, α = 90.00°, β = 90.00° and γ = 120.00°. The distinct sites, in fractional coordinates, are Na at (0.0000, 0.0000, 0.0000), H at (0.0000, 0.0000, 0.2631), H at (0.0000, 0.3864, 0.0965), H at (0.3333, 0.6667, 0.3849), Pd at (0.0000, 0.3303, 0.3370), Pd at (0.0000, 0.3295, 0.6744) and Pd at (0.3333, 0.6667, 0.0116).

For the density of states at the Fermi level, the calculation gives 0.23 states/eV/atom. For the total energy, the calculation gives -129.9 eV/cell. Its crystal system is hexagonal.



8.
Density functional theory data (PBE-GGA) for an optimized crystal structure of NaHPd3.

It has space group R-3c (No. 167, hexagonal axes), with a = 7.3012 Å, b = 7.3012 Å, c = 9.2803 Å, α = 90.00°, β = 90.00° and γ = 120.00°. The distinct sites, in fractional coordinates, are Na at (0.0000, 0.0000, 0.0000), H at (0.0000, 0.0000, 0.2500) and Pd at (0.0000, 0.2458, 0.2500).

For the density of states at the Fermi level, the calculation gives 0.36 states/eV/atom. For the energy above the most stable polymorph in this dataset, the calculation gives 173.3 meV/atom. Its crystal system is trigonal.



9.
Density functional theory data (PBE-GGA) for an optimized crystal structure of Na2H2Pd.

It has space group P4/mbm (No. 127), with a = 5.739 Å, b = 5.739 Å, c = 4.000 Å, α = 90.00°, β = 90.00° and γ = 90.00°. The distinct sites, in fractional coordinates, are Na at (0.164, 0.336, 0.000), H at (0.209, 0.709, 0.500) and Pd at (0.000, 0.000, 0.500).

For the density of states at the Fermi level, the calculation gives 0.17 states/eV/atom. For the energy above the most stable polymorph in this dataset, the calculation gives 269.1 meV/atom. Its crystal system is tetragonal.



10.
Density functional theory data (PBE-GGA) for an optimized crystal structure of Na3H4Pd2.

It has space group C2/m (No. 12), with a = 10.702 Å, b = 3.653 Å, c = 7.931 Å, α = 90.00°, β = 129.87° and γ = 90.00°. The distinct sites, in fractional coordinates, are Na at (0.000, 0.000, 0.000), Na at (0.158, 0.000, 0.740), H at (0.086, 0.500, 0.861), H at (0.161, 0.000, 0.406) and Pd at (0.116, 0.500, 0.373).

For the density of states at the Fermi level, the calculation gives 0.19 states/eV/atom. For the energy above the most stable polymorph in this dataset, the calculation gives 0.0 meV/atom. Its crystal system is monoclinic.



11.
Density functional theory data (PBE-GGA) for an optimized crystal structure of Na3H6Pd2.

It has space group I4/mmm (No. 139), with a = 3.680 Å, b = 3.680 Å, c = 17.361 Å, α = 90.00°, β = 90.00° and γ = 90.00°. The distinct sites, in fractional coordinates, are Na at (0.000, 0.000, 0.000), Na at (0.000, 0.000, 0.180), H at (0.000, 0.000, 0.313), H at (0.000, 0.500, 0.084) and Pd at (0.000, 0.000, 0.413).

For the density of states at the Fermi level, the calculation gives 0.22 states/eV/atom. For the total energy, the calculation gives -73.7 eV/cell. Its crystal system is tetragonal.



12.
Density functional theory data (PBE-GGA) for an optimized crystal structure of NaHPd3.

It has space group P4mm (No. 99), with a = 3.779 Å, b = 3.779 Å, c = 7.095 Å, α = 90.00°, β = 90.00° and γ = 90.00°. The distinct sites, in fractional coordinates, are Na at (0.000, 0.000, 0.000), H at (0.500, 0.500, 0.298), Pd at (0.000, 0.000, 0.605) and Pd at (0.000, 0.500, 0.329).

For the density of states at the Fermi level, the calculation gives 0.54 states/eV/atom. For the energy above the most stable polymorph in this dataset, the calculation gives 399.4 meV/atom. Its crystal system is tetragonal.